# 1
A plane-wave DFT calculation with PBE was carried out for a relaxed structure of K2HgIr.

Geometry as POSCAR:
```
K2HgIr
1.0
4.338 0.000 0.000
0.000 4.338 0.000
0.000 0.000 10.461
K Hg Ir
4 2 2
Cartesian
0.000 2.169 2.615
0.000 2.169 7.846
2.169 0.000 2.615
2.169 0.000 7.846
0.000 0.000 0.000
2.169 2.169 5.230
0.000 0.000 5.230
2.169 2.169 0.000
```

Computed properties:
SG: I4/mmm, No. 139
ΔE_f (eV/atom): 0.569
Final energy (eV/cell): -18.2


# 2
A plane-wave DFT calculation with PBE was carried out for a relaxed structure of KHg2Ir.

Geometry as POSCAR:
```
KHg2Ir
1.0
8.928 0.000 0.000
0.000 3.290 0.000
-1.020 0.000 7.020
K Hg Ir
2 4 2
Cartesian
0.000 0.000 0.000
4.464 1.645 0.000
1.397 0.000 4.753
2.047 1.645 2.267
5.861 1.645 4.753
6.511 0.000 2.267
-0.510 1.645 3.510
3.954 0.000 3.510
```

Computed properties:
SG: C2/m, No. 12
ΔE_f (eV/atom): 0.352
Final energy (eV/cell): -18.3


# 3
A plane-wave DFT calculation with PBE was carried out for a relaxed structure of KHg2Ir.

Geometry as POSCAR:
```
KHg2Ir
1.0
3.065 0.000 0.000
0.000 4.024 0.000
0.000 0.000 7.658
K Hg Ir
1 2 1
Cartesian
0.000 0.000 0.000
1.532 2.012 2.370
1.532 2.012 5.288
0.000 0.000 3.829
```

Computed properties:
SG: Pmmm, No. 47
ΔE_f (eV/atom): 0.342
Final energy (eV/cell): -9.2


# 4
A plane-wave DFT calculation with PBE was carried out for a relaxed structure of KHg2Ir.

Geometry as POSCAR:
```
KHg2Ir
1.0
5.288 0.000 0.000
0.000 4.361 0.000
-0.604 0.000 10.340
K Hg Ir
2 4 2
Cartesian
0.448 1.090 2.303
4.237 3.271 8.036
1.549 1.090 9.333
1.872 1.090 6.230
2.812 3.271 4.109
3.135 3.271 1.006
0.196 3.271 5.103
4.489 1.090 5.237
```

Computed properties:
SG: P2_1/m, No. 11
ΔE_f (eV/atom): 0.083
Final energy (eV/cell): -20.5


# 5
A plane-wave DFT calculation with PBE was carried out for a relaxed structure of KHgIr2.

Geometry as POSCAR:
```
KHgIr2
1.0
3.415 0.000 0.000
0.000 3.415 0.000
0.000 0.000 8.118
K Hg Ir
1 1 2
Cartesian
0.000 0.000 0.000
1.707 1.707 2.564
0.000 0.000 4.749
1.707 1.707 5.510
```

Computed properties:
SG: P4mm, No. 99
ΔE_f (eV/atom): 0.414
Final energy (eV/cell): -17.5


# 6
A plane-wave DFT calculation with PBE was carried out for a relaxed structure of K4HgIr.

Geometry as POSCAR:
```
K4HgIr
1.0
0.000 4.672 4.672
4.672 0.000 4.672
4.672 4.672 0.000
K Hg Ir
4 1 1
Cartesian
3.516 3.516 3.516
5.828 5.828 3.516
5.828 3.516 5.828
3.516 5.828 5.828
0.000 0.000 0.000
7.008 7.008 7.008
```

Computed properties:
SG: F-43m, No. 216
ΔE_f (eV/atom): 0.799
Final energy (eV/cell): -8.8


Record order is preserved below.
DOS(E_F): 1.59 2.20 4.06 1.86 1.51 4.73 states/eV/f.u.